Entry 1:
Compound: ZnCo2Rh
Source: the Alexandria database
Functional: GGA-PBE
Structure: relaxed

a = 3.734 Å, b = 2.637 Å, c = 5.745 Å
α = 62.40°, β = 90.00°, γ = 90.00°
Fractional coordinates of all 4 atoms:
Co  0.000  0.006  0.995
Co  0.000  0.494  0.505
Rh  0.500  0.250  0.250
Zn  0.500  0.750  0.750

Output
As for the raw total energy: -5.6982 eV/atom. The space-group type is P2/m (10). The calculation puts the calculated formation energy at 0.01 eV per atom. For the total magnetic moment, the calculation gives 3.75 μB per cell.



Entry 2:
Compound: CaCu3Ag
Source: the Alexandria database
Functional: GGA-PBE
Structure: relaxed

a = 4.797 Å, b = 4.797 Å, c = 4.797 Å
α = 90.00°, β = 90.00°, γ = 90.00°
Fractional coordinates of all 5 atoms:
Ca  0.500  0.500  0.500
Cu  0.000  0.500  0.000
Cu  0.000  0.000  0.500
Cu  0.500  0.000  0.000
Ag  0.000  0.000  0.000

Output
As for the raw total energy: -3.0295 eV/atom. The space-group type is Pm-3m (221). The calculation puts the calculated formation energy at 0.40 eV per atom. For the total magnetic moment, the calculation gives 0.00 μB per cell.



Entry 3:
Compound: HfGaH2
Source: the Alexandria database
Functional: GGA-PBE
Structure: relaxed

a = 3.250 Å, b = 5.574 Å, c = 5.467 Å
α = 90.00°, β = 90.00°, γ = 106.91°
Fractional coordinates of all 8 atoms:
Hf  0.781  0.562  0.250
Hf  0.219  0.438  0.750
Ga  0.047  0.093  0.250
Ga  0.953  0.907  0.750
H  0.321  0.641  0.051
H  0.321  0.641  0.449
H  0.679  0.359  0.949
H  0.679  0.359  0.551

Output
As for the raw total energy: -5.2485 eV/atom. The space-group type is Cmcm (63). For the total magnetic moment, the calculation gives 0.00 μB per cell.



Entry 4:
Compound: Ca3As4Pt4
Source: the Alexandria database
Functional: GGA-PBE
Structure: relaxed

a = 4.351 Å, b = 4.218 Å, c = 12.821 Å
α = 99.47°, β = 99.77°, γ = 90.00°
Fractional coordinates of all 11 atoms:
Ca  0.353  0.853  0.706
Ca  0.647  0.147  0.294
Ca  0.000  0.000  0.000
As  0.807  0.307  0.614
As  0.448  0.448  0.896
As  0.552  0.552  0.104
As  0.193  0.693  0.386
Pt  0.251  0.251  0.501
Pt  0.095  0.595  0.190
Pt  0.905  0.405  0.810
Pt  0.749  0.749  0.499

Output
As for the raw total energy: -5.3001 eV/atom. The space-group type is Immm (71). The calculation puts the calculated formation energy at -0.87 eV per atom. For the total magnetic moment, the calculation gives 0.00 μB per cell.



Entry 5:
Compound: Cs2TaPdS4
Source: the Alexandria database
Functional: GGA-PBE
Structure: relaxed

a = 5.856 Å, b = 7.843 Å, c = 12.540 Å
α = 85.00°, β = 76.50°, γ = 68.08°
Fractional coordinates of all 16 atoms:
Cs  0.175  0.000  0.650
Cs  0.825  0.000  0.350
Cs  0.575  0.500  0.850
Cs  0.925  0.500  0.150
Ta  0.250  0.500  0.500
Ta  0.500  0.000  0.000
Pd  0.750  0.500  0.500
Pd  0.000  0.000  0.000
S  0.312  0.811  0.104
S  0.226  0.189  0.896
S  0.878  0.811  0.896
S  0.585  0.189  0.104
S  0.438  0.689  0.396
S  0.524  0.311  0.604
S  0.872  0.689  0.604
S  0.165  0.311  0.396

Output
As for the formation energy from raw total energies: -1.045 eV per atom. As for the raw total energy: -5.4526 eV/atom. The space-group type is Fddd (70). For the total magnetic moment, the calculation gives 1.37 μB per cell.



Entry 6:
Compound: Ba2Pb5Au4
Source: the Alexandria database
Functional: GGA-PBE
Structure: relaxed

a = 6.901 Å, b = 6.997 Å, c = 8.796 Å
α = 78.85°, β = 66.90°, γ = 60.45°
Fractional coordinates of all 11 atoms:
Ba  0.855  0.000  0.291
Ba  0.145  0.000  0.709
Pb  0.500  0.000  0.000
Pb  0.000  0.500  0.000
Pb  0.500  0.500  0.000
Pb  0.250  0.500  0.500
Pb  0.750  0.500  0.500
Au  0.530  0.240  0.699
Au  0.470  0.760  0.301
Au  0.229  0.240  0.301
Au  0.771  0.760  0.699

Output
As for the raw total energy: -3.5742 eV/atom. The space-group type is Fmmm (69). The calculation puts the calculated formation energy at -0.35 eV per atom. For the total magnetic moment, the calculation gives 0.00 μB per cell.



Entry 7:
Compound: MgZr5Tl
Source: the Alexandria database
Functional: GGA-PBE
Structure: relaxed

a = 9.968 Å, b = 9.968 Å, c = 10.699 Å
α = 38.96°, β = 38.96°, γ = 68.75°
Fractional coordinates of all 14 atoms:
Mg  0.430  0.570  0.250
Mg  0.570  0.430  0.750
Zr  0.794  0.687  0.135
Zr  0.424  0.890  0.269
Zr  0.687  0.794  0.635
Zr  0.696  0.304  0.250
Zr  0.110  0.576  0.231
Zr  0.890  0.424  0.769
Zr  0.304  0.696  0.750
Zr  0.313  0.206  0.365
Zr  0.576  0.110  0.731
Zr  0.206  0.313  0.865
Tl  0.000  0.000  0.000
Tl  0.000  0.000  0.500

Output
As for the raw total energy: -6.4660 eV/atom. The space-group type is C2/c (15). The calculation puts the calculated formation energy at 0.21 eV per atom. For the total magnetic moment, the calculation gives 0.00 μB per cell.



Entry 8:
Compound: TmZr5N6
Source: the Alexandria database
Functional: GGA-PBE
Structure: relaxed

a = 5.691 Å, b = 5.677 Å, c = 5.683 Å
α = 60.03°, β = 80.44°, γ = 70.58°
Fractional coordinates of all 12 atoms:
Tm  0.000  0.000  0.000
Zr  0.500  0.166  0.667
Zr  0.000  0.333  0.334
Zr  0.500  0.500  0.000
Zr  0.000  0.667  0.666
Zr  0.500  0.834  0.333
N  0.746  0.084  0.335
N  0.254  0.580  0.335
N  0.250  0.252  0.000
N  0.750  0.748  0.000
N  0.746  0.420  0.665
N  0.254  0.916  0.665

Output
As for the formation energy from raw total energies: -1.718 eV per atom. As for the raw total energy: -9.8154 eV/atom. The space-group type is C2/m (12). For the total magnetic moment, the calculation gives 0.00 μB per cell.